ErZrTcOs: optimized geometry, PBE.

As for the energy of formation from the pure elements: -81 kJ/mol of formula units. The calculation puts the calculated density at 12.2 g/cm3. Its symmetry is No. 216.

Cell lengths 4.716, 4.716, 4.716 Å; angles 60.00, 60.00, 60.00 degrees
Fractional coordinates of all 4 atoms:
Er1 0.000 0.000 0.000
Tc1 0.750 0.750 0.750
Os1 0.250 0.250 0.250
Zr1 0.500 0.500 0.500

CdPtW2: optimized geometry, PBE.

As for the energy of formation from the pure elements: 244 kJ/mol of formula units. The calculation puts the calculated density at 16.6 g/cm3. Its symmetry is No. 123.

Cell lengths 4.959, 4.959, 2.744 Å; angles 90.00, 90.00, 90.00 degrees
Fractional coordinates of all 4 atoms:
W1 0.000 0.000 0.000
W2 0.500 0.500 0.000
Cd1 0.500 0.000 0.500
Pt1 0.000 0.500 0.500

TbMg3Hg2: optimized geometry, PBE.

As for the energy of formation from the pure elements: -149 kJ/mol of formula units. The calculation puts the calculated density at 7.4 g/cm3. Its symmetry is No. 12.

Cell lengths 4.671, 9.323, 7.873 Å; angles 120.34, 90.00, 104.51 degrees
Fractional coordinates of all 12 atoms:
Hg1 0.764 0.527 0.215
Hg2 0.236 0.473 0.785
Hg3 0.512 0.025 0.200
Hg4 0.488 0.975 0.800
Mg1 0.362 0.724 0.226
Mg2 0.065 0.131 0.431
Mg3 0.307 0.614 0.530
Mg4 0.638 0.276 0.774
Mg5 0.693 0.386 0.470
Mg6 0.935 0.869 0.569
Tb1 0.118 0.237 0.061
Tb2 0.882 0.763 0.939

One value per record, in order, for uncorrected energy: -35.5, -30.3, -23.1 eV/cell.